Entry 1:
Compound: Cs2ZnCuCl6
Source: Alexandria
Functional: GGA-PBE
Structure: relaxed

Output
Formation energy without anion corrections   -1.28 eV/atom
DOS(E_F)   0.0 states/eV/cell
Relative energy among the computed polymorphs   0.0 meV/atom

CIF file:
```
data_Cs2ZnCuCl6
_chemical_formula_sum 'Cs4 Zn2 Cu2 Cl12'
_cell_length_a 7.288
_cell_length_b 7.288
_cell_length_c 10.866
_cell_angle_alpha 90.00
_cell_angle_beta 90.00
_cell_angle_gamma 90.00
_symmetry_space_group_name_H-M 'I 4/m m m'
_symmetry_Int_Tables_number 139
_symmetry_space_group_name_Hall '-I 4 2'
loop_
_atom_site_label
_atom_site_type_symbol
_atom_site_fract_x
_atom_site_fract_y
_atom_site_fract_z
_atom_site_occupancy
Cs1 Cs 0.000 0.500 0.250 1
Zn1 Zn 0.000 0.000 0.000 1
Cu1 Cu 0.000 0.000 0.500 1
Cl1 Cl 0.000 0.000 0.201 1
Cl2 Cl 0.224 0.224 0.500 1
```

***

Entry 2:
Compound: MgCd4Ag4
Source: Alexandria
Functional: GGA-PBE
Structure: relaxed

Output
Formation energy from the elements   -74 kJ/mol of formula units
DOS(E_F)   4.2 states/eV/cell
Relative energy among the computed polymorphs   0.0 meV/atom

CIF file:
```
data_MgCd4Ag4
_chemical_formula_sum 'Mg2 Cd8 Ag8'
_cell_length_a 9.191
_cell_length_b 9.191
_cell_length_c 4.147
_cell_angle_alpha 90.00
_cell_angle_beta 90.00
_cell_angle_gamma 90.00
_symmetry_space_group_name_H-M 'I 4/m m m'
_symmetry_Int_Tables_number 139
_symmetry_space_group_name_Hall '-I 4 2'
loop_
_atom_site_label
_atom_site_type_symbol
_atom_site_fract_x
_atom_site_fract_y
_atom_site_fract_z
_atom_site_occupancy
Mg1 Mg 0.000 0.000 0.000 1
Cd1 Cd 0.000 0.326 0.000 1
Ag1 Ag 0.164 0.164 0.500 1
```

***

Entry 3:
Compound: Nd2Dy3Ni2
Source: Alexandria
Functional: GGA-PBE
Structure: relaxed

Output
Formation energy from the elements   -157 kJ/mol of formula units
DOS(E_F)   17.0 states/eV/cell

CIF file:
```
data_Nd2Dy3Ni2
_chemical_formula_sum 'Nd4 Dy6 Ni4'
_cell_length_a 12.346
_cell_length_b 3.632
_cell_length_c 9.082
_cell_angle_alpha 90.00
_cell_angle_beta 116.99
_cell_angle_gamma 90.00
_symmetry_space_group_name_H-M 'C 1 2/m 1'
_symmetry_Int_Tables_number 12
loop_
_symmetry_equiv_pos_as_xyz
'x,y,z'
'-x,-y,-z'
'-x,y,-z'
'x,-y,z'
'x+1/2,y+1/2,z'
'-x+1/2,-y+1/2,-z'
'-x+1/2,y+1/2,-z'
'x+1/2,-y+1/2,z'
loop_
_atom_site_label
_atom_site_type_symbol
_atom_site_fract_x
_atom_site_fract_y
_atom_site_fract_z
_atom_site_occupancy
Nd1 Nd 0.164 0.000 0.309 1
Dy1 Dy 0.000 0.500 0.500 1
Dy2 Dy 0.117 0.500 0.932 1
Ni1 Ni 0.168 0.000 0.740 1
```

***

Entry 4:
Compound: Tl2SeCl
Source: Alexandria
Functional: GGA-PBE
Structure: relaxed

Output
Formation energy without anion corrections   -0.54 eV/atom
DOS(E_F)   6.4 states/eV/cell
Relative energy among the computed polymorphs   43.2 meV/atom

CIF file:
```
data_Tl2SeCl
_chemical_formula_sum 'Tl4 Se2 Cl2'
_cell_length_a 7.707
_cell_length_b 4.474
_cell_length_c 7.629
_cell_angle_alpha 90.00
_cell_angle_beta 109.08
_cell_angle_gamma 90.00
_symmetry_space_group_name_H-M 'C 1 2/m 1'
_symmetry_Int_Tables_number 12
loop_
_symmetry_equiv_pos_as_xyz
'x,y,z'
'-x,-y,-z'
'-x,y,-z'
'x,-y,z'
'x+1/2,y+1/2,z'
'-x+1/2,-y+1/2,-z'
'-x+1/2,y+1/2,-z'
'x+1/2,-y+1/2,z'
loop_
_atom_site_label
_atom_site_type_symbol
_atom_site_fract_x
_atom_site_fract_y
_atom_site_fract_z
_atom_site_occupancy
Tl1 Tl 0.241 0.000 0.231 1
Se1 Se 0.000 0.500 0.000 1
Cl1 Cl 0.000 0.000 0.500 1
```